Entry 1:
Here is a relaxed NaCdFeRe crystal from OQMD via LeMat-Bulk. Energies are from PBE.

Structure (CIF):
```
data_NaCdFeRe
_chemical_formula_sum 'Na4 Cd4 Fe4 Re4'
_symmetry_space_group_name_H-M 'F -4 3 m'
_symmetry_Int_Tables_number 216
_symmetry_space_group_name_Hall 'F -4 2 3'
_cell_length_a 6.2174
_cell_length_b 6.2174
_cell_length_c 6.2174
_cell_angle_alpha 90.00
_cell_angle_beta 90.00
_cell_angle_gamma 90.00
loop_
_atom_site_label
_atom_site_fract_x
_atom_site_fract_y
_atom_site_fract_z
Na1 0.0000 0.0000 0.0000
Cd1 0.2500 0.2500 0.7500
Fe1 0.0000 0.0000 0.5000
Re1 0.2500 0.2500 0.2500
```

Values from the calculation:
Distance to the lowest polymorph of the same formula: 0 meV/atom

---

Entry 2:
Here is a relaxed NaCdFeRe crystal from OQMD via LeMat-Bulk. Energies are from PBE.

Structure (CIF):
```
data_NaCdFeRe
_chemical_formula_sum 'Na4 Cd4 Fe4 Re4'
_symmetry_space_group_name_H-M 'F -4 3 m'
_symmetry_Int_Tables_number 216
_symmetry_space_group_name_Hall 'F -4 2 3'
_cell_length_a 6.4006
_cell_length_b 6.4006
_cell_length_c 6.4006
_cell_angle_alpha 90.00
_cell_angle_beta 90.00
_cell_angle_gamma 90.00
loop_
_atom_site_label
_atom_site_fract_x
_atom_site_fract_y
_atom_site_fract_z
Na1 0.0000 0.0000 0.0000
Cd1 0.2500 0.2500 0.2500
Fe1 0.2500 0.2500 0.7500
Re1 0.0000 0.0000 0.5000
```

Values from the calculation:
Distance to the lowest polymorph of the same formula: 34 meV/atom

---

Entry 3:
Here is a relaxed NaCdFeTc crystal from OQMD via LeMat-Bulk. Energies are from PBE.

Structure (CIF):
```
data_NaCdFeTc
_chemical_formula_sum 'Na4 Cd4 Fe4 Tc4'
_symmetry_space_group_name_H-M 'F -4 3 m'
_symmetry_Int_Tables_number 216
_symmetry_space_group_name_Hall 'F -4 2 3'
_cell_length_a 6.3181
_cell_length_b 6.3181
_cell_length_c 6.3181
_cell_angle_alpha 90.00
_cell_angle_beta 90.00
_cell_angle_gamma 90.00
loop_
_atom_site_label
_atom_site_fract_x
_atom_site_fract_y
_atom_site_fract_z
Na1 0.0000 0.0000 0.0000
Cd1 0.2500 0.2500 0.7500
Fe1 0.0000 0.0000 0.5000
Tc1 0.2500 0.2500 0.2500
```

Values from the calculation:
Distance to the lowest polymorph of the same formula: 17 meV/atom

---

Entry 4:
Here is a relaxed NaCdFeTc crystal from OQMD via LeMat-Bulk. Energies are from PBE.

Structure (CIF):
```
data_NaCdFeTc
_chemical_formula_sum 'Na4 Cd4 Fe4 Tc4'
_symmetry_space_group_name_H-M 'F -4 3 m'
_symmetry_Int_Tables_number 216
_symmetry_space_group_name_Hall 'F -4 2 3'
_cell_length_a 6.4575
_cell_length_b 6.4575
_cell_length_c 6.4575
_cell_angle_alpha 90.00
_cell_angle_beta 90.00
_cell_angle_gamma 90.00
loop_
_atom_site_label
_atom_site_fract_x
_atom_site_fract_y
_atom_site_fract_z
Na1 0.0000 0.0000 0.0000
Cd1 0.2500 0.2500 0.2500
Fe1 0.2500 0.2500 0.7500
Tc1 0.0000 0.0000 0.5000
```

Values from the calculation:
Distance to the lowest polymorph of the same formula: 0 meV/atom

---

Entry 5:
Here is a relaxed NaCdFeTe3 crystal from OQMD via LeMat-Bulk. Energies are from PBE.

Structure (CIF):
```
data_NaCdFeTe3
_chemical_formula_sum 'Na2 Cd2 Fe2 Te6'
_symmetry_space_group_name_H-M 'P 1 21/m 1'
_symmetry_Int_Tables_number 11
_symmetry_space_group_name_Hall '-P 2yb'
_cell_length_a 8.4985
_cell_length_b 4.2627
_cell_length_c 9.9571
_cell_angle_alpha 90.00
_cell_angle_beta 114.90
_cell_angle_gamma 90.00
loop_
_atom_site_label
_atom_site_fract_x
_atom_site_fract_y
_atom_site_fract_z
Na1 0.2416 0.2500 0.2367
Cd1 0.1985 0.7500 0.6195
Fe1 0.3500 0.2500 0.8628
Te1 0.0013 0.2500 0.7046
Te2 0.3179 0.7500 0.9970
Te3 0.4436 0.2500 0.6341
```

Values from the calculation:
Final energy: -3.57 eV/atom

---

Entry 6:
Here is a relaxed NbCdFe crystal from OQMD via LeMat-Bulk. Energies are from PBE.

Structure (CIF):
```
data_NbCdFe
_chemical_formula_sum 'Nb4 Cd4 Fe4'
_symmetry_space_group_name_H-M 'F -4 3 m'
_symmetry_Int_Tables_number 216
_symmetry_space_group_name_Hall 'F -4 2 3'
_cell_length_a 6.1002
_cell_length_b 6.1002
_cell_length_c 6.1002
_cell_angle_alpha 90.00
_cell_angle_beta 90.00
_cell_angle_gamma 90.00
loop_
_atom_site_label
_atom_site_fract_x
_atom_site_fract_y
_atom_site_fract_z
Nb1 0.0000 0.0000 0.0000
Cd1 0.2500 0.2500 0.7500
Fe1 0.0000 0.0000 0.5000
```

Values from the calculation:
Distance to the lowest polymorph of the same formula: 85 meV/atom
Formation energy: 1115 meV per atom

---

Entry 7:
Here is a relaxed NbCd2Fe crystal from OQMD via LeMat-Bulk. Energies are from PBE.

Structure (CIF):
```
data_NbCd2Fe
_chemical_formula_sum 'Nb4 Cd8 Fe4'
_symmetry_space_group_name_H-M 'F -4 3 m'
_symmetry_Int_Tables_number 216
_symmetry_space_group_name_Hall 'F -4 2 3'
_cell_length_a 6.5096
_cell_length_b 6.5096
_cell_length_c 6.5096
_cell_angle_alpha 90.00
_cell_angle_beta 90.00
_cell_angle_gamma 90.00
loop_
_atom_site_label
_atom_site_fract_x
_atom_site_fract_y
_atom_site_fract_z
Nb1 0.0000 0.0000 0.0000
Cd1 0.0000 0.0000 0.5000
Cd2 0.2500 0.2500 0.7500
Fe1 0.2500 0.2500 0.2500
```

Values from the calculation:
Formation energy: 340 meV per atom

---

Entry 8:
Here is a relaxed NbCdFe crystal from OQMD via LeMat-Bulk. Energies are from PBE.

Structure (CIF):
```
data_NbCdFe
_chemical_formula_sum 'Nb4 Cd4 Fe4'
_symmetry_space_group_name_H-M 'F -4 3 m'
_symmetry_Int_Tables_number 216
_symmetry_space_group_name_Hall 'F -4 2 3'
_cell_length_a 6.1477
_cell_length_b 6.1477
_cell_length_c 6.1477
_cell_angle_alpha 90.00
_cell_angle_beta 90.00
_cell_angle_gamma 90.00
loop_
_atom_site_label
_atom_site_fract_x
_atom_site_fract_y
_atom_site_fract_z
Nb1 0.0000 0.0000 0.0000
Cd1 0.2500 0.2500 0.7500
Fe1 0.2500 0.2500 0.2500
```

Values from the calculation:
Distance to the lowest polymorph of the same formula: 0 meV/atom
Formation energy: 1030 meV per atom

---

Entry 9:
Here is a relaxed Nb2CdFe crystal from OQMD via LeMat-Bulk. Energies are from PBE.

Structure (CIF):
```
data_Nb2CdFe
_chemical_formula_sum 'Nb8 Cd4 Fe4'
_symmetry_space_group_name_H-M 'F -4 3 m'
_symmetry_Int_Tables_number 216
_symmetry_space_group_name_Hall 'F -4 2 3'
_cell_length_a 6.4179
_cell_length_b 6.4179
_cell_length_c 6.4179
_cell_angle_alpha 90.00
_cell_angle_beta 90.00
_cell_angle_gamma 90.00
loop_
_atom_site_label
_atom_site_fract_x
_atom_site_fract_y
_atom_site_fract_z
Nb1 0.0000 0.0000 0.0000
Nb2 0.2500 0.2500 0.2500
Cd1 0.0000 0.0000 0.5000
Fe1 0.2500 0.2500 0.7500
```

Values from the calculation:
Formation energy: 426 meV per atom

---

Entry 10:
Here is a relaxed NbCdFeSn crystal from OQMD via LeMat-Bulk. Energies are from PBE.

Structure (CIF):
```
data_NbCdFeSn
_chemical_formula_sum 'Nb4 Cd4 Fe4 Sn4'
_symmetry_space_group_name_H-M 'F -4 3 m'
_symmetry_Int_Tables_number 216
_symmetry_space_group_name_Hall 'F -4 2 3'
_cell_length_a 6.5935
_cell_length_b 6.5935
_cell_length_c 6.5935
_cell_angle_alpha 90.00
_cell_angle_beta 90.00
_cell_angle_gamma 90.00
loop_
_atom_site_label
_atom_site_fract_x
_atom_site_fract_y
_atom_site_fract_z
Nb1 0.0000 0.0000 0.0000
Cd1 0.2500 0.2500 0.7500
Fe1 0.0000 0.0000 0.5000
Sn1 0.2500 0.2500 0.2500
```

Values from the calculation:
Distance to the lowest polymorph of the same formula: 0 meV/atom

---

Entry 11:
Here is a relaxed NbTlCdFe crystal from OQMD via LeMat-Bulk. Energies are from PBE.

Structure (CIF):
```
data_NbTlCdFe
_chemical_formula_sum 'Nb4 Tl4 Cd4 Fe4'
_symmetry_space_group_name_H-M 'F -4 3 m'
_symmetry_Int_Tables_number 216
_symmetry_space_group_name_Hall 'F -4 2 3'
_cell_length_a 6.6327
_cell_length_b 6.6327
_cell_length_c 6.6327
_cell_angle_alpha 90.00
_cell_angle_beta 90.00
_cell_angle_gamma 90.00
loop_
_atom_site_label
_atom_site_fract_x
_atom_site_fract_y
_atom_site_fract_z
Nb1 0.0000 0.0000 0.0000
Tl1 0.0000 0.0000 0.5000
Cd1 0.2500 0.2500 0.2500
Fe1 0.2500 0.2500 0.7500
```

Values from the calculation:
Distance to the lowest polymorph of the same formula: 0 meV/atom

---

Entry 12:
Here is a relaxed NbTlCdFe crystal from OQMD via LeMat-Bulk. Energies are from PBE.

Structure (CIF):
```
data_NbTlCdFe
_chemical_formula_sum 'Nb4 Tl4 Cd4 Fe4'
_symmetry_space_group_name_H-M 'F -4 3 m'
_symmetry_Int_Tables_number 216
_symmetry_space_group_name_Hall 'F -4 2 3'
_cell_length_a 6.6547
_cell_length_b 6.6547
_cell_length_c 6.6547
_cell_angle_alpha 90.00
_cell_angle_beta 90.00
_cell_angle_gamma 90.00
loop_
_atom_site_label
_atom_site_fract_x
_atom_site_fract_y
_atom_site_fract_z
Nb1 0.0000 0.0000 0.0000
Tl1 0.2500 0.2500 0.2500
Cd1 0.2500 0.2500 0.7500
Fe1 0.0000 0.0000 0.5000
```

Values from the calculation:
Distance to the lowest polymorph of the same formula: 43 meV/atom

---

Entry 13:
Here is a relaxed NbZnCdFe crystal from OQMD via LeMat-Bulk. Energies are from PBE.

Structure (CIF):
```
data_NbZnCdFe
_chemical_formula_sum 'Nb4 Zn4 Cd4 Fe4'
_symmetry_space_group_name_H-M 'F -4 3 m'
_symmetry_Int_Tables_number 216
_symmetry_space_group_name_Hall 'F -4 2 3'
_cell_length_a 6.3439
_cell_length_b 6.3439
_cell_length_c 6.3439
_cell_angle_alpha 90.00
_cell_angle_beta 90.00
_cell_angle_gamma 90.00
loop_
_atom_site_label
_atom_site_fract_x
_atom_site_fract_y
_atom_site_fract_z
Nb1 0.0000 0.0000 0.0000
Zn1 0.0000 0.0000 0.5000
Cd1 0.2500 0.2500 0.2500
Fe1 0.2500 0.2500 0.7500
```

Values from the calculation:
Distance to the lowest polymorph of the same formula: 0 meV/atom
Formation energy: 266 meV per atom

---

Entry 14:
Here is a relaxed NbZnCdFe crystal from OQMD via LeMat-Bulk. Energies are from PBE.

Structure (CIF):
```
data_NbZnCdFe
_chemical_formula_sum 'Nb4 Zn4 Cd4 Fe4'
_symmetry_space_group_name_H-M 'F -4 3 m'
_symmetry_Int_Tables_number 216
_symmetry_space_group_name_Hall 'F -4 2 3'
_cell_length_a 6.3625
_cell_length_b 6.3625
_cell_length_c 6.3625
_cell_angle_alpha 90.00
_cell_angle_beta 90.00
_cell_angle_gamma 90.00
loop_
_atom_site_label
_atom_site_fract_x
_atom_site_fract_y
_atom_site_fract_z
Nb1 0.0000 0.0000 0.0000
Zn1 0.2500 0.2500 0.2500
Cd1 0.2500 0.2500 0.7500
Fe1 0.0000 0.0000 0.5000
```

Values from the calculation:
Distance to the lowest polymorph of the same formula: 108 meV/atom
Formation energy: 374 meV per atom

---

Entry 15:
Here is a relaxed Nd4Cd3Fe2 crystal from OQMD via LeMat-Bulk. Energies are from PBE.

Structure (CIF):
```
data_Nd4Cd3Fe2
_chemical_formula_sum 'Nd4 Cd3 Fe2'
_symmetry_space_group_name_H-M 'P 1 2/m 1'
_symmetry_Int_Tables_number 10
_symmetry_space_group_name_Hall '-P 2y'
_cell_length_a 7.5412
_cell_length_b 3.8274
_cell_length_c 8.2223
_cell_angle_alpha 90.00
_cell_angle_beta 109.06
_cell_angle_gamma 90.00
loop_
_atom_site_label
_atom_site_fract_x
_atom_site_fract_y
_atom_site_fract_z
Nd1 0.0879 0.0000 0.2190
Nd2 0.3896 0.0000 0.6956
Cd1 0.0000 0.5000 0.5000
Cd2 0.2967 0.5000 0.0053
Fe1 0.3599 0.5000 0.4043
```

Values from the calculation:
Formation energy: -154 meV per atom

---

Entry 16:
Here is a relaxed CdFeNiPb crystal from OQMD via LeMat-Bulk. Energies are from PBE.

Structure (CIF):
```
data_CdFeNiPb
_chemical_formula_sum 'Cd4 Fe4 Ni4 Pb4'
_symmetry_space_group_name_H-M 'F -4 3 m'
_symmetry_Int_Tables_number 216
_symmetry_space_group_name_Hall 'F -4 2 3'
_cell_length_a 6.4699
_cell_length_b 6.4699
_cell_length_c 6.4699
_cell_angle_alpha 90.00
_cell_angle_beta 90.00
_cell_angle_gamma 90.00
loop_
_atom_site_label
_atom_site_fract_x
_atom_site_fract_y
_atom_site_fract_z
Cd1 0.0000 0.0000 0.0000
Fe1 0.2500 0.2500 0.7500
Ni1 0.2500 0.2500 0.2500
Pb1 0.0000 0.0000 0.5000
```

Values from the calculation:
Distance to the lowest polymorph of the same formula: 0 meV/atom

---

Entry 17:
Here is a relaxed CdFeNiSb crystal from OQMD via LeMat-Bulk. Energies are from PBE.

Structure (CIF):
```
data_CdFeNiSb
_chemical_formula_sum 'Cd4 Fe4 Ni4 Sb4'
_symmetry_space_group_name_H-M 'F -4 3 m'
_symmetry_Int_Tables_number 216
_symmetry_space_group_name_Hall 'F -4 2 3'
_cell_length_a 6.3383
_cell_length_b 6.3383
_cell_length_c 6.3383
_cell_angle_alpha 90.00
_cell_angle_beta 90.00
_cell_angle_gamma 90.00
loop_
_atom_site_label
_atom_site_fract_x
_atom_site_fract_y
_atom_site_fract_z
Cd1 0.0000 0.0000 0.0000
Fe1 0.2500 0.2500 0.7500
Ni1 0.2500 0.2500 0.2500
Sb1 0.0000 0.0000 0.5000
```

Values from the calculation:
Distance to the lowest polymorph of the same formula: 0 meV/atom

---

Entry 18:
Here is a relaxed CdFeSiNi crystal from OQMD via LeMat-Bulk. Energies are from PBE.

Structure (CIF):
```
data_CdFeSiNi
_chemical_formula_sum 'Cd4 Fe4 Si4 Ni4'
_symmetry_space_group_name_H-M 'F -4 3 m'
_symmetry_Int_Tables_number 216
_symmetry_space_group_name_Hall 'F -4 2 3'
_cell_length_a 6.0368
_cell_length_b 6.0368
_cell_length_c 6.0368
_cell_angle_alpha 90.00
_cell_angle_beta 90.00
_cell_angle_gamma 90.00
loop_
_atom_site_label
_atom_site_fract_x
_atom_site_fract_y
_atom_site_fract_z
Cd1 0.0000 0.0000 0.0000
Fe1 0.0000 0.0000 0.5000
Si1 0.2500 0.2500 0.2500
Ni1 0.2500 0.2500 0.7500
```

Values from the calculation:
Distance to the lowest polymorph of the same formula: 163 meV/atom

---

Entry 19:
Here is a relaxed CdFeSiNi crystal from OQMD via LeMat-Bulk. Energies are from PBE.

Structure (CIF):
```
data_CdFeSiNi
_chemical_formula_sum 'Cd4 Fe4 Si4 Ni4'
_symmetry_space_group_name_H-M 'F -4 3 m'
_symmetry_Int_Tables_number 216
_symmetry_space_group_name_Hall 'F -4 2 3'
_cell_length_a 5.9656
_cell_length_b 5.9656
_cell_length_c 5.9656
_cell_angle_alpha 90.00
_cell_angle_beta 90.00
_cell_angle_gamma 90.00
loop_
_atom_site_label
_atom_site_fract_x
_atom_site_fract_y
_atom_site_fract_z
Cd1 0.0000 0.0000 0.0000
Fe1 0.2500 0.2500 0.7500
Si1 0.0000 0.0000 0.5000
Ni1 0.2500 0.2500 0.2500
```

Values from the calculation:
Distance to the lowest polymorph of the same formula: 0 meV/atom

---

Entry 20:
Here is a relaxed CdFeNiSn crystal from OQMD via LeMat-Bulk. Energies are from PBE.

Structure (CIF):
```
data_CdFeNiSn
_chemical_formula_sum 'Cd4 Fe4 Ni4 Sn4'
_symmetry_space_group_name_H-M 'F -4 3 m'
_symmetry_Int_Tables_number 216
_symmetry_space_group_name_Hall 'F -4 2 3'
_cell_length_a 6.3188
_cell_length_b 6.3188
_cell_length_c 6.3188
_cell_angle_alpha 90.00
_cell_angle_beta 90.00
_cell_angle_gamma 90.00
loop_
_atom_site_label
_atom_site_fract_x
_atom_site_fract_y
_atom_site_fract_z
Cd1 0.0000 0.0000 0.0000
Fe1 0.2500 0.2500 0.7500
Ni1 0.2500 0.2500 0.2500
Sn1 0.0000 0.0000 0.5000
```

Values from the calculation:
Distance to the lowest polymorph of the same formula: 0 meV/atom